[1]
DFT (PBE) results for LaTl2IO6 after structural relaxation.

- uncorrected formation energy (eV/atom) = -1.25
- calculated volume (Å³ per atom) = 18.3
- density of states at the Fermi level (states/eV per atom) = 0.00
- magnetic moment (μB/cell) = 0.0
- E (eV/atom) = -5.347

Unit cell a=10.847 b=10.847 c=10.847 alpha=34.55 beta=34.55 gamma=34.55
Positions (direct):
La: 0.106 0.106 0.106
La: 0.894 0.894 0.894
Tl: 0.250 0.250 0.250
Tl: 0.375 0.375 0.375
Tl: 0.625 0.625 0.625
Tl: 0.750 0.750 0.750
I: 0.000 0.000 0.000
I: 0.500 0.500 0.500
O: 0.099 0.099 0.688
O: 0.099 0.688 0.099
O: 0.258 0.675 0.675
O: 0.312 0.901 0.901
O: 0.325 0.325 0.742
O: 0.325 0.742 0.325
O: 0.675 0.258 0.675
O: 0.675 0.675 0.258
O: 0.688 0.099 0.099
O: 0.742 0.325 0.325
O: 0.901 0.312 0.901
O: 0.901 0.901 0.312

***

[2]
DFT (PBE) results for LaTlIO2 after structural relaxation.

- uncorrected formation energy (eV/atom) = -0.58
- calculated volume (Å³ per atom) = 23.4
- density of states at the Fermi level (states/eV per atom) = 0.46
- distance to the lowest polymorph of the same formula (meV/atom) = 896
- magnetic moment (μB/cell) = 0.1
- E (eV/atom) = -4.334

Unit cell a=4.512 b=4.512 c=5.749 alpha=90.00 beta=90.00 gamma=90.00
Positions (direct):
La: 0.000 0.000 0.000
Tl: 0.500 0.500 0.500
I: 0.500 0.500 0.000
O: 0.000 0.500 0.500
O: 0.500 0.000 0.500

***

Please write out number 2 again, unchanged.
DFT (PBE) results for LaTlIO2 after structural relaxation.

- uncorrected formation energy (eV/atom) = -0.58
- calculated volume (Å³ per atom) = 23.4
- density of states at the Fermi level (states/eV per atom) = 0.46
- distance to the lowest polymorph of the same formula (meV/atom) = 896
- magnetic moment (μB/cell) = 0.1
- E (eV/atom) = -4.334

Unit cell a=4.512 b=4.512 c=5.749 alpha=90.00 beta=90.00 gamma=90.00
Positions (direct):
La: 0.000 0.000 0.000
Tl: 0.500 0.500 0.500
I: 0.500 0.500 0.000
O: 0.000 0.500 0.500
O: 0.500 0.000 0.500

***

Number 1 is which compound?
LaTl2IO6

***

Among the records above, which one has the highest calculated volume?
LaTlIO2

***

Copy entry 2 word for word.
DFT (PBE) results for LaTlIO2 after structural relaxation.

- uncorrected formation energy (eV/atom) = -0.58
- calculated volume (Å³ per atom) = 23.4
- density of states at the Fermi level (states/eV per atom) = 0.46
- distance to the lowest polymorph of the same formula (meV/atom) = 896
- magnetic moment (μB/cell) = 0.1
- E (eV/atom) = -4.334

Unit cell a=4.512 b=4.512 c=5.749 alpha=90.00 beta=90.00 gamma=90.00
Positions (direct):
La: 0.000 0.000 0.000
Tl: 0.500 0.500 0.500
I: 0.500 0.500 0.000
O: 0.000 0.500 0.500
O: 0.500 0.000 0.500